# 1
Computed, not measured: a geometry-optimized Lu3Np structure at the GGA-PBE level of DFT.

a = 4.847 Å, b = 4.847 Å, c = 4.847 Å
α = 90.00°, β = 90.00°, γ = 90.00°
Fractional positions:
Lu 0.000 0.500 0.500
Lu 0.500 0.000 0.500
Lu 0.500 0.500 0.000
Np 0.000 0.000 0.000

Calculated values
Total DFT energy (no corrections)   -6.26 eV per atom
DOS at the Fermi energy   17.4 states/eV/cell
Magnetic moment   4.78 μB per formula unit
Calculated formation energy   368 meV per atom
Excess energy over the best structure of this formula in the dataset   0.102 eV per atom

=====

# 2
Computed, not measured: a geometry-optimized Ce6Ga2CoH structure at the GGA-PBE level of DFT.

a = 6.872 Å, b = 6.872 Å, c = 6.874 Å
α = 59.96°, β = 59.96°, γ = 89.98°
Fractional positions:
Ce 0.238 0.238 0.524
Ce 0.236 0.236 0.001
Ce 0.237 0.763 0.000
Ce 0.764 0.764 0.999
Ce 0.763 0.237 0.000
Ce 0.762 0.762 0.476
Ga 0.250 0.750 0.500
Ga 0.750 0.250 0.500
H 0.000 0.000 0.000
Co 0.500 0.500 0.000

Calculated values
Total DFT energy (no corrections)   -5.42 eV per atom
DOS at the Fermi energy   19.7 states/eV/cell
Magnetic moment   0.35 μB per formula unit

=====

# 3
Computed, not measured: a geometry-optimized BeC2 structure at the GGA-PBE level of DFT.

a = 13.570 Å, b = 13.570 Å, c = 13.570 Å
α = 169.58°, β = 169.58°, γ = 14.76°
Fractional positions:
Be 0.308 0.808 0.500
Be 0.942 0.942 0.000
Be 0.192 0.692 0.500
Be 0.058 0.058 0.000
C 0.889 0.389 0.500
C 0.611 0.111 0.500
C 0.244 0.244 0.000
C 0.756 0.756 0.000
C 0.361 0.361 0.000
C 0.006 0.506 0.500
C 0.639 0.639 0.000
C 0.494 0.994 0.500

Calculated values
Total DFT energy (no corrections)   -6.40 eV per atom
DOS at the Fermi energy   1.9 states/eV/cell
Magnetic moment   0.00 μB per formula unit
Calculated formation energy   995 meV per atom
Excess energy over the best structure of this formula in the dataset   0.609 eV per atom

=====

# 4
Computed, not measured: a geometry-optimized Th2Ga4Ge2Ru structure at the GGA-PBE level of DFT.

a = 6.325 Å, b = 6.325 Å, c = 6.325 Å
α = 89.16°, β = 120.49°, γ = 120.49°
Fractional positions:
Ge 0.000 0.279 0.279
Ge 0.000 0.721 0.721
Th 0.500 0.250 0.750
Th 0.500 0.750 0.250
Ru 0.000 0.000 0.000
Ga 0.432 0.716 0.716
Ga 0.000 0.284 0.716
Ga 0.568 0.284 0.284
Ga 0.000 0.716 0.284

Calculated values
Total DFT energy (no corrections)   -5.57 eV per atom
DOS at the Fermi energy   4.1 states/eV/cell
Magnetic moment   0.00 μB per formula unit
Calculated formation energy   -523 meV per atom

=====

# 5
Computed, not measured: a geometry-optimized RbPa2GaS5 structure at the GGA-PBE level of DFT.

a = 7.614 Å, b = 7.614 Å, c = 9.484 Å
α = 113.67°, β = 113.67°, γ = 90.00°
Fractional positions:
S 0.255 0.755 0.220
S 0.500 0.500 0.000
S 0.465 0.255 0.220
S 0.000 0.000 0.000
S 0.035 0.535 0.780
S 0.965 0.465 0.220
S 0.535 0.745 0.780
S 0.755 0.965 0.220
S 0.745 0.245 0.780
S 0.245 0.035 0.780
Pa 0.340 0.840 0.000
Pa 0.840 0.660 0.000
Pa 0.160 0.340 0.000
Pa 0.660 0.160 0.000
Ga 0.750 0.250 0.500
Ga 0.250 0.750 0.500
Rb 0.750 0.750 0.500
Rb 0.250 0.250 0.500

Calculated values
Total DFT energy (no corrections)   -6.19 eV per atom
DOS at the Fermi energy   9.6 states/eV/cell
Magnetic moment   1.99 μB per formula unit
Formation energy (no corrections)   -1339 meV/atom

=====

# 6
Computed, not measured: a geometry-optimized Ca2Zn5Ir2Rh structure at the GGA-PBE level of DFT.

a = 3.149 Å, b = 10.578 Å, c = 10.578 Å
α = 90.00°, β = 90.00°, γ = 90.00°
Fractional positions:
Rh 0.000 0.500 0.500
Rh 0.000 0.000 0.000
Ir 0.000 0.633 0.867
Ir 0.000 0.867 0.367
Ir 0.000 0.133 0.633
Ir 0.000 0.367 0.133
Zn 0.500 0.000 0.500
Zn 0.500 0.686 0.441
Zn 0.500 0.814 0.941
Zn 0.500 0.941 0.186
Zn 0.500 0.500 0.000
Zn 0.500 0.186 0.059
Zn 0.500 0.314 0.559
Zn 0.500 0.441 0.314
Zn 0.500 0.559 0.686
Zn 0.500 0.059 0.814
Ca 0.000 0.674 0.174
Ca 0.000 0.826 0.674
Ca 0.000 0.174 0.326
Ca 0.000 0.326 0.826

Calculated values
Total DFT energy (no corrections)   -3.84 eV per atom
DOS at the Fermi energy   10.0 states/eV/cell
Magnetic moment   0.00 μB per formula unit
Calculated formation energy   -300 meV per atom

=====

# 7
Computed, not measured: a geometry-optimized UGaMo2 structure at the GGA-PBE level of DFT.

a = 3.519 Å, b = 4.412 Å, c = 4.412 Å
α = 90.00°, β = 90.00°, γ = 90.00°
Fractional positions:
U 0.500 0.500 0.500
Mo 0.000 0.000 0.500
Mo 0.000 0.500 0.000
Ga 0.500 0.000 0.000

Calculated values
Total DFT energy (no corrections)   -9.03 eV per atom
DOS at the Fermi energy   6.4 states/eV/cell
Magnetic moment   0.00 μB per formula unit
Calculated formation energy   -37 meV per atom
Excess energy over the best structure of this formula in the dataset   0.000 eV per atom

=====

# 8
Computed, not measured: a geometry-optimized BaZnTc2As structure at the GGA-PBE level of DFT.

a = 4.820 Å, b = 5.894 Å, c = 4.820 Å
α = 90.00°, β = 90.00°, γ = 90.00°
Fractional positions:
Tc 0.000 0.000 0.500
Tc 0.500 0.000 0.000
Zn 0.000 0.000 0.000
As 0.500 0.500 0.500
Ba 0.000 0.500 0.000

Calculated values
Total DFT energy (no corrections)   -4.47 eV per atom
DOS at the Fermi energy   6.4 states/eV/cell
Magnetic moment   6.09 μB per formula unit
Calculated formation energy   1245 meV per atom

=====

# 9
Computed, not measured: a geometry-optimized KCuHgW2 structure at the GGA-PBE level of DFT.

a = 4.636 Å, b = 5.575 Å, c = 4.636 Å
α = 90.00°, β = 90.00°, γ = 90.00°
Fractional positions:
W 0.500 0.000 0.000
W 0.000 0.000 0.500
K 0.000 0.500 0.000
Hg 0.500 0.500 0.500
Cu 0.000 0.000 0.000

Calculated values
Total DFT energy (no corrections)   -4.36 eV per atom
DOS at the Fermi energy   4.2 states/eV/cell
Magnetic moment   0.00 μB per formula unit
Calculated formation energy   1916 meV per atom

=====

# 10
Computed, not measured: a geometry-optimized LaScCr2 structure at the GGA-PBE level of DFT.

a = 5.869 Å, b = 5.869 Å, c = 4.914 Å
α = 65.28°, β = 65.28°, γ = 33.40°
Fractional positions:
La 0.485 0.485 0.515
Sc 0.260 0.260 0.240
Cr 0.048 0.048 0.952
Cr 0.707 0.707 0.793

Calculated values
Total DFT energy (no corrections)   -7.24 eV per atom
DOS at the Fermi energy   4.2 states/eV/cell
Magnetic moment   0.30 μB per formula unit
Calculated formation energy   390 meV per atom
Excess energy over the best structure of this formula in the dataset   0.023 eV per atom

=====

# 11
Computed, not measured: a geometry-optimized BaLiZnSb2 structure at the GGA-PBE level of DFT.

a = 4.664 Å, b = 4.664 Å, c = 7.122 Å
α = 109.12°, β = 109.12°, γ = 90.00°
Fractional positions:
Sb 0.628 0.628 0.256
Sb 0.372 0.372 0.744
Zn 0.250 0.750 0.500
Li 0.750 0.250 0.500
Ba 0.000 0.000 0.000

Calculated values
Total DFT energy (no corrections)   -3.31 eV per atom
DOS at the Fermi energy   2.6 states/eV/cell
Magnetic moment   0.00 μB per formula unit
Formation energy (no corrections)   -635 meV/atom

=====

# 12
Computed, not measured: a geometry-optimized Pm3AlCo structure at the GGA-PBE level of DFT.

a = 6.868 Å, b = 6.868 Å, c = 7.071 Å
α = 107.43°, β = 113.22°, γ = 106.60°
Fractional positions:
Pm 0.717 0.450 0.166
Pm 0.831 0.026 0.260
Pm 0.169 0.974 0.740
Pm 0.283 0.550 0.834
Pm 0.765 0.570 0.740
Pm 0.235 0.430 0.260
Co 0.379 0.231 0.609
Co 0.621 0.769 0.391
Al 0.323 0.942 0.264
Al 0.677 0.058 0.736

Calculated values
Total DFT energy (no corrections)   -5.14 eV per atom
DOS at the Fermi energy   10.1 states/eV/cell
Magnetic moment   0.00 μB per formula unit
Calculated formation energy   -121 meV per atom
Excess energy over the best structure of this formula in the dataset   0.000 eV per atom

=====

# 13
Computed, not measured: a geometry-optimized MgSnHSe structure at the GGA-PBE level of DFT.

a = 3.535 Å, b = 3.539 Å, c = 6.989 Å
α = 90.00°, β = 90.24°, γ = 90.00°
Fractional positions:
Se 0.360 0.500 0.586
Sn 0.358 0.500 0.130
H 0.359 0.500 0.845
Mg 0.859 0.000 0.441

Calculated values
Total DFT energy (no corrections)   -3.27 eV per atom
DOS at the Fermi energy   1.7 states/eV/cell
Magnetic moment   0.00 μB per formula unit
Excess energy over the best structure of this formula in the dataset   0.155 eV per atom

=====

# 14
Computed, not measured: a geometry-optimized CoSi3N structure at the GGA-PBE level of DFT.

a = 4.203 Å, b = 4.203 Å, c = 4.203 Å
α = 90.00°, β = 90.00°, γ = 90.00°
Fractional positions:
Si 0.000 0.000 0.500
Si 0.500 0.000 0.000
Si 0.000 0.500 0.000
Co 0.000 0.000 0.000
N 0.500 0.500 0.500

Calculated values
Total DFT energy (no corrections)   -5.42 eV per atom
DOS at the Fermi energy   0.7 states/eV/cell
Magnetic moment   0.00 μB per formula unit
Formation energy (no corrections)   922 meV/atom
Excess energy over the best structure of this formula in the dataset   0.335 eV per atom

=====

# 15
Computed, not measured: a geometry-optimized Pm5Pr2NdSm structure at the GGA-PBE level of DFT.

a = 8.858 Å, b = 8.858 Å, c = 10.188 Å
α = 115.77°, β = 115.77°, γ = 90.00°
Fractional positions:
Pm 0.652 0.152 0.721
Pm 0.152 0.069 0.721
Pm 0.848 0.931 0.279
Pm 0.500 0.500 0.000
Pm 0.000 0.000 0.000
Pm 0.348 0.848 0.279
Pm 0.931 0.431 0.279
Pm 0.069 0.569 0.721
Pm 0.431 0.348 0.279
Pm 0.569 0.652 0.721
Pr 0.381 0.881 0.000
Pr 0.119 0.381 0.000
Pr 0.881 0.619 0.000
Pr 0.619 0.119 0.000
Nd 0.250 0.250 0.500
Nd 0.750 0.750 0.500
Sm 0.250 0.750 0.500
Sm 0.750 0.250 0.500

Calculated values
Total DFT energy (no corrections)   -4.50 eV per atom
DOS at the Fermi energy   25.9 states/eV/cell
Magnetic moment   0.00 μB per formula unit
Calculated formation energy   252 meV per atom

=====

# 16
Computed, not measured: a geometry-optimized Nd2Zn5Cu5 structure at the GGA-PBE level of DFT.

a = 4.207 Å, b = 5.255 Å, c = 9.026 Å
α = 90.00°, β = 90.00°, γ = 90.00°
Fractional positions:
Cu 0.000 0.500 0.334
Cu 0.000 0.500 0.666
Cu 0.500 0.000 0.000
Cu 0.000 0.000 0.162
Cu 0.000 0.000 0.838
Zn 0.500 0.751 0.754
Zn 0.500 0.751 0.246
Zn 0.500 0.500 0.500
Zn 0.500 0.249 0.754
Zn 0.500 0.249 0.246
Nd 0.000 0.500 0.000
Nd 0.000 0.000 0.500

Calculated values
Total DFT energy (no corrections)   -3.32 eV per atom
DOS at the Fermi energy   5.7 states/eV/cell
Magnetic moment   0.00 μB per formula unit
Calculated formation energy   -284 meV per atom
Excess energy over the best structure of this formula in the dataset   0.000 eV per atom

=====

# 17
Computed, not measured: a geometry-optimized LiPm3U3S8 structure at the GGA-PBE level of DFT.

a = 7.790 Å, b = 7.789 Å, c = 7.945 Å
α = 119.35°, β = 90.00°, γ = 120.00°
Fractional positions:
S 0.245 0.992 0.736
S 0.747 0.992 0.736
S 0.747 0.494 0.742
S 0.245 0.490 0.736
S 0.253 0.506 0.258
S 0.755 0.008 0.264
S 0.253 0.008 0.264
S 0.755 0.510 0.264
U 0.500 0.500 0.500
U 0.500 0.000 0.500
U 0.000 0.500 0.500
Pm 0.500 0.500 0.000
Pm 0.000 0.500 0.000
Pm 0.000 0.000 0.000
Li 0.000 0.000 0.500

Calculated values
Total DFT energy (no corrections)   -7.20 eV per atom
DOS at the Fermi energy   17.3 states/eV/cell
Magnetic moment   7.67 μB per formula unit
Formation energy (no corrections)   -1660 meV/atom

=====

# 18
Computed, not measured: a geometry-optimized MgCd2Pt structure at the GGA-PBE level of DFT.

a = 5.101 Å, b = 5.721 Å, c = 2.983 Å
α = 76.69°, β = 86.07°, γ = 115.34°
Fractional positions:
Mg 0.000 0.500 0.500
Cd 0.000 0.000 0.000
Cd 0.500 0.000 0.500
Pt 0.500 0.500 0.000

Calculated values
Total DFT energy (no corrections)   -2.60 eV per atom
DOS at the Fermi energy   1.0 states/eV/cell
Magnetic moment   0.00 μB per formula unit
Calculated formation energy   -238 meV per atom

=====

# 19
Computed, not measured: a geometry-optimized NaPb2O4 structure at the GGA-PBE level of DFT.

a = 3.457 Å, b = 5.988 Å, c = 6.155 Å
α = 94.71°, β = 90.00°, γ = 90.00°
Fractional positions:
O 0.000 0.298 0.816
O 0.500 0.160 0.199
O 0.000 0.702 0.184
O 0.500 0.840 0.801
Na 0.000 0.000 0.500
Pb 0.000 0.000 0.000
Pb 0.500 0.500 0.000

Calculated values
Total DFT energy (no corrections)   -5.05 eV per atom
DOS at the Fermi energy   2.8 states/eV/cell
Magnetic moment   0.00 μB per formula unit
Formation energy (no corrections)   -973 meV/atom

=====

# 20
Computed, not measured: a geometry-optimized Ni2PdRh6 structure at the GGA-PBE level of DFT.

a = 3.797 Å, b = 6.031 Å, c = 6.001 Å
α = 107.68°, β = 108.44°, γ = 90.00°
Fractional positions:
Rh 0.167 0.496 0.334
Rh 0.390 0.842 0.781
Rh 0.833 0.504 0.666
Rh 0.724 0.835 0.448
Rh 0.610 0.158 0.219
Rh 0.276 0.165 0.552
Ni 0.944 0.161 0.889
Ni 0.056 0.839 0.111
Pd 0.500 0.500 0.000

Calculated values
Total DFT energy (no corrections)   -6.71 eV per atom
DOS at the Fermi energy   15.2 states/eV/cell
Magnetic moment   0.01 μB per formula unit
Calculated formation energy   55 meV per atom

=====

# 21
Computed, not measured: a geometry-optimized LiSb3Mo structure at the GGA-PBE level of DFT.

a = 5.300 Å, b = 5.300 Å, c = 5.300 Å
α = 90.00°, β = 90.00°, γ = 90.00°
Fractional positions:
Mo 0.000 0.000 0.000
Li 0.500 0.500 0.500
Sb 0.500 0.000 0.000
Sb 0.000 0.000 0.500
Sb 0.000 0.500 0.000

Calculated values
Total DFT energy (no corrections)   -4.65 eV per atom
DOS at the Fermi energy   7.4 states/eV/cell
Magnetic moment   0.00 μB per formula unit
Formation energy (no corrections)   368 meV/atom
Excess energy over the best structure of this formula in the dataset   0.000 eV per atom

=====

# 22
Computed, not measured: a geometry-optimized Tc2Os2Pt structure at the GGA-PBE level of DFT.

a = 7.464 Å, b = 7.464 Å, c = 2.764 Å
α = 90.00°, β = 90.00°, γ = 90.00°
Fractional positions:
Os 0.626 0.126 0.000
Os 0.126 0.374 0.000
Os 0.874 0.626 0.000
Os 0.374 0.874 0.000
Tc 0.333 0.167 0.500
Tc 0.667 0.833 0.500
Tc 0.167 0.667 0.500
Tc 0.833 0.333 0.500
Pt 0.000 0.000 0.000
Pt 0.500 0.500 0.000

Calculated values
Total DFT energy (no corrections)   -9.70 eV per atom
DOS at the Fermi energy   7.9 states/eV/cell
Magnetic moment   0.00 μB per formula unit
Calculated formation energy   143 meV per atom

=====

# 23
Computed, not measured: a geometry-optimized SnS2 structure at the GGA-PBE level of DFT.

a = 3.694 Å, b = 3.694 Å, c = 6.712 Å
α = 90.00°, β = 90.00°, γ = 120.00°
Fractional positions:
S 0.333 0.667 0.221
S 0.667 0.333 0.779
Sn 0.000 0.000 0.000

Calculated values
Total DFT energy (no corrections)   -4.47 eV per atom
DOS at the Fermi energy   0.0 states/eV/cell
Magnetic moment   0.00 μB per formula unit
Formation energy (no corrections)   -380 meV/atom

=====

# 24
Computed, not measured: a geometry-optimized Mg3RuF structure at the GGA-PBE level of DFT.

a = 4.256 Å, b = 4.256 Å, c = 4.256 Å
α = 90.00°, β = 90.00°, γ = 90.00°
Fractional positions:
Ru 0.500 0.500 0.500
Mg 0.000 0.000 0.500
Mg 0.000 0.500 0.000
Mg 0.500 0.000 0.000
F 0.000 0.000 0.000

Calculated values
Total DFT energy (no corrections)   -3.95 eV per atom
DOS at the Fermi energy   0.9 states/eV/cell
Magnetic moment   1.00 μB per formula unit
Formation energy (no corrections)   -760 meV/atom
Excess energy over the best structure of this formula in the dataset   0.000 eV per atom